# EuDy3Pd (GGA-PBE, relaxed)
data_EuDy3Pd
_chemical_formula_sum 'Eu1 Dy3 Pd1'
_space_group_name_H-M_alt 'P 1'
_space_group_IT_number 1
_cell_length_a 5.5277
_cell_length_b 5.5277
_cell_length_c 5.5277
_cell_angle_alpha 90.00
_cell_angle_beta 90.00
_cell_angle_gamma 90.00
loop_
_space_group_symop_operation_xyz
'x,y,z'
loop_
_atom_site_label
_atom_site_fract_x
_atom_site_fract_y
_atom_site_fract_z
Eu1 0.5000 0.5000 0.5000
Pd1 0.0000 0.0000 0.0000
Dy1 0.0000 0.5000 0.0000
Dy2 0.0000 0.0000 0.5000
Dy3 0.5000 0.0000 0.0000
# Total energy, eV per atom: -6.05
# Energy of formation from the pure elements, eV/atom: -0.193


# EuDyPd (GGA-PBE, relaxed)
data_EuDyPd
_chemical_formula_sum 'Eu1 Dy1 Pd1'
_space_group_name_H-M_alt 'P 1'
_space_group_IT_number 1
_cell_length_a 3.6067
_cell_length_b 3.6067
_cell_length_c 6.8811
_cell_angle_alpha 105.19
_cell_angle_beta 105.19
_cell_angle_gamma 90.00
loop_
_space_group_symop_operation_xyz
'x,y,z'
loop_
_atom_site_label
_atom_site_fract_x
_atom_site_fract_y
_atom_site_fract_z
Eu1 0.0245 0.0245 0.0490
Pd1 0.6821 0.6821 0.3642
Dy1 0.2934 0.2934 0.5868
# Energy relative to the lowest polymorph listed for this composition, eV per atom: 0.000
# Total energy, eV per atom: -7.20
# Energy of formation from the pure elements, eV/atom: -0.508


# EuDyPd (GGA-PBE, relaxed)
data_EuDyPd
_chemical_formula_sum 'Eu1 Dy1 Pd1'
_space_group_name_H-M_alt 'P 1'
_space_group_IT_number 1
_cell_length_a 6.1833
_cell_length_b 4.1863
_cell_length_c 4.1863
_cell_angle_alpha 120.00
_cell_angle_beta 90.00
_cell_angle_gamma 90.00
loop_
_space_group_symop_operation_xyz
'x,y,z'
loop_
_atom_site_label
_atom_site_fract_x
_atom_site_fract_y
_atom_site_fract_z
Eu1 0.7376 0.6667 0.3333
Pd1 0.0211 0.0000 0.0000
Dy1 0.2412 0.3333 0.6667
# Energy relative to the lowest polymorph listed for this composition, eV per atom: 0.094
# Total energy, eV per atom: -7.10
# Energy of formation from the pure elements, eV/atom: -0.414


# EuDyPdPt (GGA-PBE, relaxed)
data_EuDyPdPt
_chemical_formula_sum 'Eu1 Dy1 Pd1 Pt1'
_space_group_name_H-M_alt 'P 1'
_space_group_IT_number 1
_cell_length_a 5.0086
_cell_length_b 5.0086
_cell_length_c 5.0086
_cell_angle_alpha 60.00
_cell_angle_beta 60.00
_cell_angle_gamma 60.00
loop_
_space_group_symop_operation_xyz
'x,y,z'
loop_
_atom_site_label
_atom_site_fract_x
_atom_site_fract_y
_atom_site_fract_z
Eu1 0.0000 0.0000 0.0000
Pd1 0.2500 0.2500 0.2500
Pt1 0.7500 0.7500 0.7500
Dy1 0.5000 0.5000 0.5000
# Total energy, eV per atom: -7.44
# Energy of formation from the pure elements, eV/atom: -0.910


> energy of formation from the pure elements of number 4 (EuDyPdPt)?

-0.910 eV/atom


> What is the formula in the third record?

EuDyPd


> Look up the total energy of the third one.

-7.10 eV per atom


Please write out number 4 again, unchanged.
# EuDyPdPt (GGA-PBE, relaxed)
data_EuDyPdPt
_chemical_formula_sum 'Eu1 Dy1 Pd1 Pt1'
_space_group_name_H-M_alt 'P 1'
_space_group_IT_number 1
_cell_length_a 5.0086
_cell_length_b 5.0086
_cell_length_c 5.0086
_cell_angle_alpha 60.00
_cell_angle_beta 60.00
_cell_angle_gamma 60.00
loop_
_space_group_symop_operation_xyz
'x,y,z'
loop_
_atom_site_label
_atom_site_fract_x
_atom_site_fract_y
_atom_site_fract_z
Eu1 0.0000 0.0000 0.0000
Pd1 0.2500 0.2500 0.2500
Pt1 0.7500 0.7500 0.7500
Dy1 0.5000 0.5000 0.5000
# Total energy, eV per atom: -7.44
# Energy of formation from the pure elements, eV/atom: -0.910